# 1
## Tb3Sm7Y2 (PBE)

Data for an optimized crystal structure of Tb3Sm7Y2.

Summary:
Spin magnetization in μB per formula unit: 0.000
Energy in eV/atom: -4.90
ΔE_f in meV/atom: 90
Symmetry: No. 10

Lattice parameters (Å, degrees): 5.8744 3.6017 18.9866 90.00 93.47 90.00
Atoms (fractional coordinates):
Tb  0.0000  0.0000  0.0000
Tb  0.2823  0.5000  0.6319
Tb  0.7177  0.5000  0.3681
Sm  0.1801  0.5000  0.1438
Sm  0.2423  0.0000  0.4646
Sm  0.3176  0.0000  0.8189
Sm  0.5000  0.5000  0.0000
Sm  0.6824  0.0000  0.1811
Sm  0.7577  0.0000  0.5354
Sm  0.8199  0.5000  0.8562
Y  0.2065  0.0000  0.2962
Y  0.7935  0.0000  0.7038

***

# 2
## TbSmY (PBE)

Data for an optimized crystal structure of TbSmY.

Summary:
Spin magnetization in μB per formula unit: 0.000
Energy in eV/atom: -5.27
ΔE_f in meV/atom: 4
Symmetry: No. 8

Lattice parameters (Å, degrees): 3.6168 3.6168 8.9250 101.83 101.83 60.09
Atoms (fractional coordinates):
Tb  0.0000  0.0000  0.0000
Sm  0.7792  0.7792  0.3361
Y  0.2233  0.2233  0.6710

***

# 3
## Tb3Sm4Y (PBE)

Data for an optimized crystal structure of Tb3Sm4Y.

Summary:
Spin magnetization in μB per formula unit: 0.000
Energy in eV/atom: -4.74
ΔE_f in meV/atom: 161
Symmetry: No. 12

Lattice parameters (Å, degrees): 11.9017 11.9017 6.7902 106.48 106.48 16.94
Atoms (fractional coordinates):
Tb  0.0000  0.0000  0.0000
Tb  0.1236  0.1236  0.3817
Tb  0.8764  0.8764  0.6183
Sm  0.1243  0.1243  0.8686
Sm  0.2597  0.2597  0.2625
Sm  0.7403  0.7403  0.7375
Sm  0.8757  0.8757  0.1314
Y  0.5000  0.5000  0.5000

***

# 4
## Tb3Sm12Y (PBE)

Data for an optimized crystal structure of Tb3Sm12Y.

Summary:
Spin magnetization in μB per formula unit: 0.000
Energy in eV/atom: -4.80
ΔE_f in meV/atom: 15
Symmetry: No. 123

Lattice parameters (Å, degrees): 5.1098 5.1098 20.4127 90.00 90.00 90.00
Atoms (fractional coordinates):
Tb  0.0000  0.0000  0.0000
Tb  0.0000  0.0000  0.2500
Tb  0.0000  0.0000  0.7500
Sm  0.0000  0.5000  0.1250
Sm  0.0000  0.5000  0.3748
Sm  0.0000  0.5000  0.6252
Sm  0.0000  0.5000  0.8750
Sm  0.5000  0.0000  0.1250
Sm  0.5000  0.0000  0.3748
Sm  0.5000  0.0000  0.6252
Sm  0.5000  0.0000  0.8750
Sm  0.5000  0.5000  0.0000
Sm  0.5000  0.5000  0.2500
Sm  0.5000  0.5000  0.5000
Sm  0.5000  0.5000  0.7500
Y  0.0000  0.0000  0.5000

***

# 5
## Tb2Sm8Y3 (PBE)

Data for an optimized crystal structure of Tb2Sm8Y3.

Summary:
Spin magnetization in μB per formula unit: 0.000
Energy in eV/atom: -4.89
ΔE_f in meV/atom: 214
Symmetry: No. 12

Lattice parameters (Å, degrees): 10.9010 10.9010 5.7000 90.02 90.02 41.36
Atoms (fractional coordinates):
Tb  0.2408  0.2408  0.4991
Tb  0.7592  0.7592  0.5009
Sm  0.1330  0.1330  0.9996
Sm  0.1865  0.6000  0.4999
Sm  0.3291  0.3291  0.9993
Sm  0.4000  0.8135  0.5001
Sm  0.6000  0.1865  0.4999
Sm  0.6709  0.6709  0.0007
Sm  0.8135  0.4000  0.5001
Sm  0.8670  0.8670  0.0004
Y  0.0000  0.0000  0.5000
Y  0.2850  0.7150  0.0000
Y  0.7150  0.2850  0.0000

***

# 6
## Tb7SmY12 (PBE)

Data for an optimized crystal structure of Tb7SmY12.

Summary:
Spin magnetization in μB per formula unit: 0.000
Energy in eV/atom: -5.05
ΔE_f in meV/atom: 683
Symmetry: No. 229

Lattice parameters (Å, degrees): 9.7795 9.7795 9.7795 109.47 109.47 109.47
Atoms (fractional coordinates):
Tb  0.0000  0.0000  0.5000
Tb  0.0000  0.5000  0.0000
Tb  0.0000  0.5000  0.5000
Tb  0.5000  0.0000  0.0000
Tb  0.5000  0.0000  0.5000
Tb  0.5000  0.5000  0.0000
Tb  0.5000  0.5000  0.5000
Sm  0.0000  0.0000  0.0000
Y  0.0000  0.2515  0.7485
Y  0.0000  0.7485  0.2515
Y  0.2515  0.0000  0.7485
Y  0.2515  0.2515  0.5031
Y  0.2515  0.5031  0.2515
Y  0.2515  0.7485  0.0000
Y  0.4969  0.7485  0.7485
Y  0.5031  0.2515  0.2515
Y  0.7485  0.0000  0.2515
Y  0.7485  0.2515  0.0000
Y  0.7485  0.4969  0.7485
Y  0.7485  0.7485  0.4969

***

# 7
## Tb2Sm3Y2 (PBE)

Data for an optimized crystal structure of Tb2Sm3Y2.

Summary:
Spin magnetization in μB per formula unit: 0.000
Energy in eV/atom: -5.09
ΔE_f in meV/atom: 107
Symmetry: No. 12

Lattice parameters (Å, degrees): 8.9646 8.9646 8.5813 118.33 118.33 22.71
Atoms (fractional coordinates):
Tb  0.0651  0.0651  0.4095
Tb  0.9349  0.9349  0.5905
Sm  0.2878  0.2878  0.6995
Sm  0.5000  0.5000  0.0000
Sm  0.7122  0.7122  0.3005
Y  0.3542  0.3542  0.1741
Y  0.6458  0.6458  0.8259

***

# 8
## Tb2SmY8 (PBE)

Data for an optimized crystal structure of Tb2SmY8.

Summary:
Spin magnetization in μB per formula unit: 0.000
Energy in eV/atom: -5.81
ΔE_f in meV/atom: 160
Symmetry: No. 12

Lattice parameters (Å, degrees): 9.2755 9.2755 5.8973 105.38 105.38 121.62
Atoms (fractional coordinates):
Tb  0.1928  0.8072  0.0000
Tb  0.8072  0.1928  0.0000
Sm  0.5000  0.5000  0.5000
Y  0.0734  0.0734  0.2935
Y  0.1653  0.4012  0.8256
Y  0.2931  0.7069  0.5000
Y  0.4012  0.1653  0.8256
Y  0.5988  0.8347  0.1744
Y  0.7069  0.2931  0.5000
Y  0.8347  0.5988  0.1744
Y  0.9266  0.9266  0.7065

***

# 9
## Tb8SmY6 (PBE)

Data for an optimized crystal structure of Tb8SmY6.

Summary:
Spin magnetization in μB per formula unit: 0.000
Energy in eV/atom: -5.25
ΔE_f in meV/atom: 122
Symmetry: No. 148

Lattice parameters (Å, degrees): 8.6500 8.6500 8.6500 63.29 63.29 63.29
Atoms (fractional coordinates):
Tb  0.0763  0.0763  0.0763
Tb  0.2195  0.6110  0.2457
Tb  0.2457  0.2195  0.6110
Tb  0.3890  0.7543  0.7805
Tb  0.6110  0.2457  0.2195
Tb  0.7543  0.7805  0.3890
Tb  0.7805  0.3890  0.7543
Tb  0.9237  0.9237  0.9237
Sm  0.5000  0.5000  0.5000
Y  0.0386  0.6050  0.7357
Y  0.2643  0.9614  0.3950
Y  0.3950  0.2643  0.9614
Y  0.6050  0.7357  0.0386
Y  0.7357  0.0386  0.6050
Y  0.9614  0.3950  0.2643

***

# 10
## Tb2SmY8 (PBE)

Data for an optimized crystal structure of Tb2SmY8.

Summary:
Spin magnetization in μB per formula unit: 0.000
Energy in eV/atom: -5.80
ΔE_f in meV/atom: 169
Symmetry: No. 12

Lattice parameters (Å, degrees): 8.9494 8.9494 6.6724 98.98 98.98 43.80
Atoms (fractional coordinates):
Tb  0.2442  0.2442  0.3108
Tb  0.7558  0.7558  0.6892
Sm  0.0000  0.0000  0.0000
Y  0.1731  0.6482  0.5944
Y  0.2047  0.2047  0.8015
Y  0.3518  0.8269  0.4056
Y  0.4112  0.4112  0.0967
Y  0.5888  0.5888  0.9033
Y  0.6482  0.1731  0.5944
Y  0.7953  0.7953  0.1985
Y  0.8269  0.3518  0.4056

***

# 11
## Tb3Sm3Y8 (PBE)

Data for an optimized crystal structure of Tb3Sm3Y8.

Summary:
Spin magnetization in μB per formula unit: 0.000
Energy in eV/atom: -5.58
ΔE_f in meV/atom: 116
Symmetry: No. 71

Lattice parameters (Å, degrees): 9.7049 9.7049 9.7049 145.96 112.19 78.09
Atoms (fractional coordinates):
Tb  0.0000  0.0000  0.0000
Tb  0.2975  0.0000  0.2975
Tb  0.7025  0.0000  0.7025
Sm  0.3185  0.8185  0.5000
Sm  0.5000  0.5000  0.0000
Sm  0.6815  0.1815  0.5000
Y  0.0553  0.3969  0.6584
Y  0.0621  0.2213  0.8408
Y  0.2615  0.6031  0.6584
Y  0.3804  0.2213  0.1592
Y  0.6196  0.7787  0.8408
Y  0.7385  0.3969  0.3416
Y  0.9379  0.7787  0.1592
Y  0.9447  0.6031  0.3416

***

# 12
## Tb3Sm4Y4 (PBE)

Data for an optimized crystal structure of Tb3Sm4Y4.

Summary:
Spin magnetization in μB per formula unit: 0.000
Energy in eV/atom: -5.28
ΔE_f in meV/atom: 53
Symmetry: No. 2

Lattice parameters (Å, degrees): 3.5308 5.6577 18.2870 98.88 95.53 90.00
Atoms (fractional coordinates):
Tb  0.0000  0.0000  0.0000
Tb  0.1366  0.6372  0.2739
Tb  0.8634  0.3628  0.7261
Sm  0.3203  0.8196  0.6397
Sm  0.4544  0.4532  0.9085
Sm  0.5456  0.5468  0.0915
Sm  0.6797  0.1804  0.3603
Y  0.2667  0.2669  0.5339
Y  0.4096  0.9084  0.8188
Y  0.5904  0.0916  0.1812
Y  0.7333  0.7331  0.4661